No. 1
Density functional theory data (SCAN) for CuNiIr2 at its PBEsol-relaxed geometry.

a b c (Å): 2.653 4.435 4.595
angles (deg): 99.97 90.00 107.40
Fractional positions:
Ni 0.500 0.000 0.000
Cu 0.000 0.000 0.500
Ir 0.246 0.492 0.246
Ir 0.754 0.508 0.754

- uncorrected energy (eV per cell) = -173.40
- space-group type = C2/m
- energy relative to the elements (eV per atom) = 0.042

=====

No. 2
Density functional theory data (SCAN) for Cu2ReNiIr at its PBEsol-relaxed geometry.

a b c (Å): 4.149 4.149 4.315
angles (deg): 90.00 90.00 90.00
Each line ends with the local moment (μB).
Fractional positions:
Re 0.000 0.000 0.500  0.61
Ir 0.500 0.500 0.500  0.16
Ni 0.000 0.000 0.000  0.01
Cu 0.500 0.000 0.000  0.03
Cu 0.000 0.500 0.000  0.03

- uncorrected energy (eV per cell) = -181.44
- space-group type = P4/mmm
- energy relative to the elements (eV per atom) = 1.467